[1]
Below is crystalline Li3CrSi at its relaxed geometry, with properties calculated at the GGA-PBE level.

Lattice parameters (Å, degrees): 4.709 4.709 4.709 90.00 90.00 90.00
Last column: magnetic moment on the atom in μB.
Fractional positions:
1 Li 0.000 0.500 0.000  0.03
2 Li 0.000 0.000 0.500  0.02
3 Li 0.500 0.000 0.000  0.03
4 Cr 0.000 0.000 0.000  4.14
5 Si 0.500 0.500 0.500  -0.12

Results
As for the total magnetization: 4.49 μB per cell. Its formation energy (no corrections) is 955 meV per atom.

[2]
Below is crystalline LiCrSi3 at its relaxed geometry, with properties calculated at the GGA-PBE level.

Lattice parameters (Å, degrees): 4.474 4.474 4.474 90.00 90.00 90.00
Fractional positions:
1 Li 0.500 0.500 0.500
2 Si 0.000 0.500 0.000
3 Si 0.500 0.000 0.000
4 Si 0.000 0.000 0.500
5 Cr 0.000 0.000 0.000

Results
As for the energy above the lowest structure with this stoichiometry: 0 meV per atom. As for the total magnetization: 0.00 μB per cell. Its formation energy (no corrections) is 215 meV per atom.

[3]
Below is crystalline LiCrSi2 at its relaxed geometry, with properties calculated at the GGA-PBE level.

Lattice parameters (Å, degrees): 8.342 8.342 8.342 19.04 19.04 19.04
Last column: magnetic moment on the atom in μB.
Fractional positions:
1 Si 0.506 0.506 0.506  -0.01
2 Si 0.994 0.994 0.994  -0.01
3 Li 0.750 0.750 0.750  0.00
4 Cr 0.250 0.250 0.250  0.52

Results
As for the energy above the lowest structure with this stoichiometry: 75 meV per atom. As for the total magnetization: 0.47 μB per cell. Its formation energy (no corrections) is -56 meV per atom.

[4]
Below is crystalline LiCr2Si at its relaxed geometry, with properties calculated at the GGA-PBE level.

Lattice parameters (Å, degrees): 2.458 2.458 8.222 90.00 90.00 90.00
Fractional positions:
1 Cr 0.000 0.000 0.973
2 Cr 0.000 0.000 0.527
3 Si 0.500 0.500 0.750
4 Li 0.500 0.500 0.250

Results
As for the total magnetization: 0.00 μB per cell. Its formation energy (no corrections) is 237 meV per atom.

[5]
Below is crystalline LiCrSi at its relaxed geometry, with properties calculated at the GGA-PBE level.

Lattice parameters (Å, degrees): 4.441 4.441 4.441 147.13 129.33 61.73
Last column: magnetic moment on the atom in μB.
Fractional positions:
1 Si 0.666 0.666 0.000  -0.04
2 Li 0.329 0.329 0.000  0.01
3 Cr 0.006 0.006 0.000  0.74

Results
As for the total magnetization: 0.76 μB per cell. Its formation energy (no corrections) is 118 meV per atom.

[6]
Below is crystalline LiCrSi2 at its relaxed geometry, with properties calculated at the GGA-PBE level.

Lattice parameters (Å, degrees): 3.666 3.666 8.705 77.84 77.84 90.00
Fractional positions:
1 Cr 0.000 0.000 0.000
2 Cr 0.750 0.250 0.500
3 Li 0.250 0.750 0.500
4 Li 0.500 0.500 0.000
5 Si 0.106 0.625 0.250
6 Si 0.644 0.125 0.250
7 Si 0.375 0.356 0.750
8 Si 0.875 0.894 0.750

Results
As for the energy above the lowest structure with this stoichiometry: 564 meV per atom. As for the total magnetization: 0.00 μB per cell. Its formation energy (no corrections) is 433 meV per atom.

[7]
Below is crystalline LiCr2Si at its relaxed geometry, with properties calculated at the GGA-PBE level.

Lattice parameters (Å, degrees): 4.638 4.638 4.638 141.63 131.13 63.78
Fractional positions:
1 Cr 0.500 0.500 0.000
2 Cr 0.000 0.000 0.000
3 Si 0.250 0.750 0.500
4 Li 0.750 0.250 0.500

Results
As for the total magnetization: 0.00 μB per cell. Its formation energy (no corrections) is 57 meV per atom.

[8]
Below is crystalline LiCr2Si at its relaxed geometry, with properties calculated at the GGA-PBE level.

Lattice parameters (Å, degrees): 2.537 2.537 8.321 90.00 90.00 109.38
Fractional positions:
1 Si 0.500 0.500 0.766
2 Cr 0.500 0.500 0.227
3 Cr 0.000 0.000 0.999
4 Li 0.000 0.000 0.508

Results
As for the total magnetization: 0.00 μB per cell. Its formation energy (no corrections) is 120 meV per atom.

Which of these has the lowest formation energy (no corrections)?
number 3

Number 1 is which compound?
Li3CrSi

The highest formation energy (no corrections) belongs to which entry?
Li3CrSi

formation energy (no corrections) of number 6 (LiCrSi2)?
433 meV per atom